DFT (PBE) results for an optimized crystal structure of La2PmY3As6.

E, eV/atom: -6.7072
ΔE_f, eV per atom: -1.549

Cell lengths 4.231, 8.452, 9.449 Å; angles 102.83, 102.94, 90.00 degrees
Fractional coordinates of all 12 atoms:
Y: 0.833 0.166 0.667
Y: 0.167 0.834 0.333
Y: 0.500 0.500 0.000
La: 0.834 0.668 0.668
La: 0.166 0.332 0.332
As: 0.332 0.925 0.664
As: 0.997 0.253 0.994
As: 0.003 0.747 0.006
As: 0.664 0.590 0.328
As: 0.336 0.410 0.672
As: 0.668 0.075 0.336
Pm: 0.500 0.000 0.000



DFT (PBE) results for an optimized crystal structure of TaHgP2.

E, eV/atom: -5.3179
ΔE_f, eV per atom: 0.426

Cell lengths 2.987, 2.987, 8.609 Å; angles 90.00, 90.00, 107.92 degrees
Fractional coordinates of all 4 atoms:
P: 0.000 0.000 0.000
P: 0.500 0.500 0.274
Ta: 0.000 0.000 0.474
Hg: 0.500 0.500 0.752



DFT (PBE) results for an optimized crystal structure of Ti3AuC.

Energy above the most stable polymorph in this dataset, eV/f.u.: 1.24
E, eV/atom: -7.6116
ΔE_f, eV per atom: -0.374

Cell lengths 5.058, 11.846, 5.076 Å; angles 90.00, 90.00, 90.00 degrees
Fractional coordinates of all 20 atoms:
Au: 0.000 0.500 0.500
Au: 0.500 0.500 0.000
Au: 0.500 0.000 0.000
Au: 0.000 0.000 0.500
C: 0.749 0.250 0.250
C: 0.251 0.750 0.750
C: 0.751 0.750 0.750
C: 0.249 0.250 0.250
Ti: 0.501 0.632 0.560
Ti: 0.999 0.368 0.060
Ti: 0.499 0.368 0.440
Ti: 0.001 0.632 0.940
Ti: 0.001 0.868 0.940
Ti: 0.999 0.132 0.060
Ti: 0.001 0.750 0.431
Ti: 0.999 0.250 0.569
Ti: 0.499 0.250 0.931
Ti: 0.501 0.750 0.069
Ti: 0.499 0.132 0.440
Ti: 0.501 0.868 0.560